A plane-wave DFT calculation with PBE was carried out for BaTl2In after structural relaxation.

For the volume, the calculation gives 538 Å³/cell. The raw total energy is -2.683 eV per atom. The value obtained for the formation energy from the elements is -0.334 eV/atom. The calculation puts the theoretical density at 8158 kg/m³.

The space group is Pnma (No. 62) and the conventional cell measures 12.902, 8.229 and 5.068 Å, with angles of 90.00, 90.00 and 90.00 degrees. The asymmetric unit holds Ba at (0.083, 0.250, 0.002), Tl at (0.130, 0.547, 0.503) and In at (0.203, 0.750, 0.003).